Record 1
Density functional theory data (PBE) for a relaxed CaTmGe2 crystal.

Unit cell a=3.938 b=5.814 c=5.814 alpha=44.15 beta=90.00 gamma=90.00
Fractional positions:
Ca1 0.000 0.000 0.000
Tm1 0.500 0.723 0.723
Ge1 0.000 0.276 0.276
Ge2 0.500 0.439 0.439

Calculated values
mass density: 6.35 g cm⁻³
total magnetization: 0.000 μB per cell
DFT formation energy: -0.703 eV per atom

---

Record 2
Density functional theory data (PBE) for a relaxed CaTmGe crystal.

Unit cell a=8.588 b=8.588 c=8.588 alpha=149.53 beta=149.53 gamma=43.63
Fractional positions:
Ca1 0.179 0.179 0.000
Ca2 0.821 0.821 0.000
Tm1 0.000 0.500 0.500
Tm2 0.500 0.000 0.500
Ge1 0.374 0.374 0.000
Ge2 0.626 0.626 0.000

Calculated values
mass density: 5.76 g cm⁻³
total magnetization: 0.000 μB per cell
DFT formation energy: -0.588 eV per atom

---

Record 3
Density functional theory data (PBE) for a relaxed CaTmGe2 crystal.

Unit cell a=5.217 b=5.217 c=3.384 alpha=90.00 beta=90.00 gamma=90.00
Fractional positions:
Ca1 0.000 0.000 0.000
Tm1 0.500 0.500 0.000
Ge1 0.000 0.500 0.500
Ge2 0.500 0.000 0.500

Calculated values
mass density: 6.39 g cm⁻³
total magnetization: 0.000 μB per cell
DFT formation energy: -0.524 eV per atom

---

Record 4
Density functional theory data (PBE) for a relaxed CaTmGe crystal.

Unit cell a=4.916 b=4.916 c=4.916 alpha=60.00 beta=60.00 gamma=60.00
Fractional positions:
Ca1 0.000 0.000 0.000
Tm1 0.500 0.500 0.500
Ge1 0.750 0.750 0.750

Calculated values
mass density: 5.57 g cm⁻³
total magnetization: 0.000 μB per cell
DFT formation energy: -0.495 eV per atom

---

Record 5
Density functional theory data (PBE) for a relaxed CaTmGe2 crystal.

Unit cell a=3.751 b=3.751 c=6.687 alpha=90.00 beta=90.00 gamma=90.00
Fractional positions:
Ca1 0.000 0.000 0.000
Tm1 0.000 0.000 0.500
Ge1 0.500 0.500 0.289
Ge2 0.500 0.500 0.711

Calculated values
mass density: 6.25 g cm⁻³
total magnetization: 0.000 μB per cell
DFT formation energy: -0.567 eV per atom

---

Record 6
Density functional theory data (PBE) for a relaxed CaTm2Zn2Ge2 crystal.

Unit cell a=11.275 b=11.275 c=11.275 alpha=21.30 beta=21.30 gamma=21.30
Fractional positions:
Ca1 0.000 0.000 0.000
Tm1 0.124 0.124 0.124
Tm2 0.876 0.876 0.876
Zn1 0.404 0.404 0.404
Zn2 0.596 0.596 0.596
Ge1 0.269 0.269 0.269
Ge2 0.731 0.731 0.731

Calculated values
mass density: 6.55 g cm⁻³
total magnetization: 0.001 μB per cell
DFT formation energy: -0.365 eV per atom